1.
The following is a PBE-GGA calculation of a geometry-optimized CaLuNiPt structure, from the Alexandria database.

Calculated values
Spin magnetization, Bohr magnetons per cell: 0.00
V, Å³ per cell: 78.7
DFT formation energy, eV per formula unit: -2.639

CIF file:
```
data_CaLuNiPt
_cell_length_a 4.809
_cell_length_b 4.809
_cell_length_c 4.809
_cell_angle_alpha 60.00
_cell_angle_beta 60.00
_cell_angle_gamma 60.00
_space_group_name_H-M_alt 'P 1'
_space_group_IT_number 1
loop_
_space_group_symop_operation_xyz
'x,y,z'
loop_
_atom_site_label
_atom_site_fract_x
_atom_site_fract_y
_atom_site_fract_z
Ca1 0.500 0.500 0.500
Pt1 0.750 0.750 0.750
Lu1 0.000 0.000 0.000
Ni1 0.250 0.250 0.250
```

2.
The following is a PBE-GGA calculation of a geometry-optimized SrY2Ru structure, from the Alexandria database.

Calculated values
Spin magnetization, Bohr magnetons per cell: 0.00
V, Å³ per cell: 105.7
DFT formation energy, eV per formula unit: 1.619
E above lowest polymorph, meV per atom: 561

CIF file:
```
data_SrY2Ru
_cell_length_a 5.307
_cell_length_b 5.307
_cell_length_c 5.307
_cell_angle_alpha 60.00
_cell_angle_beta 60.00
_cell_angle_gamma 60.00
_space_group_name_H-M_alt 'P 1'
_space_group_IT_number 1
loop_
_space_group_symop_operation_xyz
'x,y,z'
loop_
_atom_site_label
_atom_site_fract_x
_atom_site_fract_y
_atom_site_fract_z
Y1 0.000 0.000 0.000
Y2 0.250 0.250 0.250
Ru1 0.500 0.500 0.500
Sr1 0.750 0.750 0.750
```

3.
The following is a PBE-GGA calculation of a geometry-optimized ReSbIr2 structure, from the Alexandria database.

Calculated values
Formation energy (no corrections), eV/atom: 0.29
Spin magnetization, Bohr magnetons per cell: 0.00
V, Å³ per cell: 64.7

CIF file:
```
data_ReSbIr2
_cell_length_a 4.874
_cell_length_b 4.874
_cell_length_c 4.780
_cell_angle_alpha 82.22
_cell_angle_beta 82.22
_cell_angle_gamma 35.16
_space_group_name_H-M_alt 'P 1'
_space_group_IT_number 1
loop_
_space_group_symop_operation_xyz
'x,y,z'
loop_
_atom_site_label
_atom_site_fract_x
_atom_site_fract_y
_atom_site_fract_z
Re1 0.750 0.750 0.750
Sb1 0.250 0.250 0.250
Ir1 0.492 0.492 0.516
Ir2 0.008 0.008 0.984
```

4.
The following is a PBE-GGA calculation of a geometry-optimized KBaAg structure, from the Alexandria database.

Calculated values
Spin magnetization, Bohr magnetons per cell: 0.00
V, Å³ per cell: 289.4
DFT formation energy, eV per formula unit: -0.453
E above lowest polymorph, meV per atom: 0

CIF file:
```
data_KBaAg
_cell_length_a 4.889
_cell_length_b 4.663
_cell_length_c 12.906
_cell_angle_alpha 79.59
_cell_angle_beta 90.00
_cell_angle_gamma 90.00
_space_group_name_H-M_alt 'P 1'
_space_group_IT_number 1
loop_
_space_group_symop_operation_xyz
'x,y,z'
loop_
_atom_site_label
_atom_site_fract_x
_atom_site_fract_y
_atom_site_fract_z
Ag1 0.250 0.533 0.935
Ag2 0.750 0.467 0.065
Ba1 0.250 0.929 0.141
Ba2 0.750 0.071 0.859
K1 0.250 0.691 0.618
K2 0.750 0.309 0.382
```

5.
The following is a PBE-GGA calculation of a geometry-optimized LiLa2TlMo structure, from the Alexandria database.

Calculated values
Spin magnetization, Bohr magnetons per cell: 3.25
V, Å³ per cell: 195.1
DFT formation energy, eV per formula unit: 4.880

CIF file:
```
data_LiLa2TlMo
_cell_length_a 6.089
_cell_length_b 5.263
_cell_length_c 6.089
_cell_angle_alpha 90.00
_cell_angle_beta 90.00
_cell_angle_gamma 90.00
_space_group_name_H-M_alt 'P 1'
_space_group_IT_number 1
loop_
_space_group_symop_operation_xyz
'x,y,z'
loop_
_atom_site_label
_atom_site_fract_x
_atom_site_fract_y
_atom_site_fract_z
Li1 0.500 0.500 0.500
La1 0.500 0.000 0.000
La2 0.000 0.000 0.500
Tl1 0.000 0.000 0.000
Mo1 0.000 0.500 0.000
```

6.
The following is a PBE-GGA calculation of a geometry-optimized PmDy3Tm6Th2 structure, from the Alexandria database.

Calculated values
Spin magnetization, Bohr magnetons per cell: 0.00
V, Å³ per cell: 372.9
DFT formation energy, eV per formula unit: 0.358

CIF file:
```
data_PmDy3Tm6Th2
_cell_length_a 6.134
_cell_length_b 6.134
_cell_length_c 11.622
_cell_angle_alpha 95.06
_cell_angle_beta 95.06
_cell_angle_gamma 119.96
_space_group_name_H-M_alt 'P 1'
_space_group_IT_number 1
loop_
_space_group_symop_operation_xyz
'x,y,z'
loop_
_atom_site_label
_atom_site_fract_x
_atom_site_fract_y
_atom_site_fract_z
Th1 0.667 0.333 0.000
Th2 0.333 0.667 0.000
Tm1 0.083 0.421 0.249
Tm2 0.745 0.745 0.249
Tm3 0.255 0.255 0.751
Tm4 0.579 0.917 0.751
Tm5 0.421 0.083 0.249
Tm6 0.917 0.579 0.751
Dy1 0.834 0.166 0.500
Dy2 0.166 0.834 0.500
Dy3 0.500 0.500 0.500
Pm1 0.000 0.000 0.000
```

7.
The following is a PBE-GGA calculation of a geometry-optimized TlW2Se4 structure, from the Alexandria database.

Calculated values
Formation energy (no corrections), eV/atom: -0.44
Spin magnetization, Bohr magnetons per cell: 0.00
V, Å³ per cell: 169.4

CIF file:
```
data_TlW2Se4
_cell_length_a 3.437
_cell_length_b 6.005
_cell_length_c 8.642
_cell_angle_alpha 104.04
_cell_angle_beta 101.47
_cell_angle_gamma 90.00
_space_group_name_H-M_alt 'P 1'
_space_group_IT_number 1
loop_
_space_group_symop_operation_xyz
'x,y,z'
loop_
_atom_site_label
_atom_site_fract_x
_atom_site_fract_y
_atom_site_fract_z
Se1 0.636 0.008 0.272
Se2 0.168 0.523 0.336
Se3 0.832 0.477 0.664
Se4 0.364 0.992 0.728
Tl1 0.500 0.500 0.000
W1 0.754 0.818 0.509
W2 0.246 0.182 0.491
```

8.
The following is a PBE-GGA calculation of a geometry-optimized Be2V5H5 structure, from the Alexandria database.

Calculated values
Spin magnetization, Bohr magnetons per cell: 0.00
V, Å³ per cell: 98.2
E_tot, eV/atom: -5.81

CIF file:
```
data_Be2V5H5
_cell_length_a 2.556
_cell_length_b 4.606
_cell_length_c 8.943
_cell_angle_alpha 103.23
_cell_angle_beta 90.00
_cell_angle_gamma 106.11
_space_group_name_H-M_alt 'P 1'
_space_group_IT_number 1
loop_
_space_group_symop_operation_xyz
'x,y,z'
loop_
_atom_site_label
_atom_site_fract_x
_atom_site_fract_y
_atom_site_fract_z
V1 0.351 0.703 0.932
V2 0.500 0.000 0.500
V3 0.649 0.297 0.068
V4 0.711 0.421 0.346
V5 0.289 0.579 0.654
H1 0.138 0.277 0.469
H2 0.734 0.468 0.791
H3 0.266 0.532 0.209
H4 0.000 0.000 0.000
H5 0.862 0.723 0.531
Be1 0.047 0.093 0.786
Be2 0.953 0.907 0.214
```

9.
The following is a PBE-GGA calculation of a geometry-optimized Ac4TlAsSe2 structure, from the Alexandria database.

Calculated values
Formation energy (no corrections), eV/atom: -1.36
Spin magnetization, Bohr magnetons per cell: 0.00
V, Å³ per cell: 274.2

CIF file:
```
data_Ac4TlAsSe2
_cell_length_a 4.534
_cell_length_b 7.951
_cell_length_c 8.052
_cell_angle_alpha 70.88
_cell_angle_beta 90.00
_cell_angle_gamma 90.00
_space_group_name_H-M_alt 'P 1'
_space_group_IT_number 1
loop_
_space_group_symop_operation_xyz
'x,y,z'
loop_
_atom_site_label
_atom_site_fract_x
_atom_site_fract_y
_atom_site_fract_z
As1 0.000 0.500 0.500
Ac1 0.000 0.246 0.259
Ac2 0.500 0.255 0.742
Ac3 0.500 0.745 0.258
Ac4 0.000 0.754 0.741
Tl1 0.500 0.500 0.000
Se1 0.500 0.000 0.500
Se2 0.000 0.000 0.000
```

10.
The following is a PBE-GGA calculation of a geometry-optimized CaFe2Ir structure, from the Alexandria database.

Calculated values
Spin magnetization, Bohr magnetons per cell: 5.86
V, Å³ per cell: 69.1
DFT formation energy, eV per formula unit: 1.022

CIF file:
```
data_CaFe2Ir
_cell_length_a 2.919
_cell_length_b 3.734
_cell_length_c 6.336
_cell_angle_alpha 90.00
_cell_angle_beta 90.00
_cell_angle_gamma 90.00
_space_group_name_H-M_alt 'P 1'
_space_group_IT_number 1
loop_
_space_group_symop_operation_xyz
'x,y,z'
loop_
_atom_site_label
_atom_site_fract_x
_atom_site_fract_y
_atom_site_fract_z
Fe1 0.000 0.000 0.426
Fe2 0.000 0.000 0.074
Ir1 0.500 0.500 0.250
Ca1 0.500 0.500 0.750
```

11.
The following is a PBE-GGA calculation of a geometry-optimized Hg2Os2I structure, from the Alexandria database.

Calculated values
Formation energy (no corrections), eV/atom: 1.11
Spin magnetization, Bohr magnetons per cell: 0.00
V, Å³ per cell: 216.4
E above lowest polymorph, meV per atom: 0

CIF file:
```
data_Hg2Os2I
_cell_length_a 8.582
_cell_length_b 8.582
_cell_length_c 2.938
_cell_angle_alpha 90.00
_cell_angle_beta 90.00
_cell_angle_gamma 90.00
_space_group_name_H-M_alt 'P 1'
_space_group_IT_number 1
loop_
_space_group_symop_operation_xyz
'x,y,z'
loop_
_atom_site_label
_atom_site_fract_x
_atom_site_fract_y
_atom_site_fract_z
I1 0.000 0.000 0.000
I2 0.500 0.500 0.000
Hg1 0.695 0.805 0.500
Hg2 0.805 0.305 0.500
Hg3 0.195 0.695 0.500
Hg4 0.305 0.195 0.500
Os1 0.905 0.595 0.000
Os2 0.095 0.405 0.000
Os3 0.595 0.095 0.000
Os4 0.405 0.905 0.000
```

12.
The following is a PBE-GGA calculation of a geometry-optimized DyErZnSi structure, from the Alexandria database.

Calculated values
Formation energy (no corrections), eV/atom: -0.46
Spin magnetization, Bohr magnetons per cell: 0.00
V, Å³ per cell: 85.7
E above lowest polymorph, meV per atom: 114

CIF file:
```
data_DyErZnSi
_cell_length_a 4.949
_cell_length_b 4.949
_cell_length_c 4.949
_cell_angle_alpha 60.00
_cell_angle_beta 60.00
_cell_angle_gamma 60.00
_space_group_name_H-M_alt 'P 1'
_space_group_IT_number 1
loop_
_space_group_symop_operation_xyz
'x,y,z'
loop_
_atom_site_label
_atom_site_fract_x
_atom_site_fract_y
_atom_site_fract_z
Dy1 0.000 0.000 0.000
Er1 0.500 0.500 0.500
Zn1 0.250 0.250 0.250
Si1 0.750 0.750 0.750
```